The following is a DFT calculation (meta-GGA SCAN) of a crystal of ReP2W relaxed with PBEsol.

- magnetization (μB per atom) = 0.000
- symmetry = Pmm2 (25)
- energy relative to the elements (meV/atom) = -133

a = 2.9441 Å, b = 4.2216 Å, c = 4.3633 Å
α = 90.00°, β = 90.00°, γ = 90.00°
Last column: nearest neighbours and their distance in Å.
Sites, in units of the cell vectors:
P  0.0000  0.2420  0.5000  2 Re 2.43, 4 W 2.57-2.58
Re  0.0000  0.4981  0.0000  6 P 2.43-2.64
P  0.5000  0.0167  0.0000  2 W 2.47, 4 Re 2.51-2.64
W  0.5000  0.7431  0.5000  6 P 2.47-2.58